Model w:
Dy4RuPt: relaxed, PBE-GGA.

The structure in CIF format:
```
data_Dy4RuPt
_cell_length_a 8.959
_cell_length_b 13.016
_cell_length_c 6.328
_cell_angle_alpha 90.00
_cell_angle_beta 123.94
_cell_angle_gamma 90.00
_symmetry_space_group_name_H-M 'C 1 2/c 1'
_symmetry_Int_Tables_number 15
_symmetry_space_group_name_Hall '-C 2yc'
loop_
_atom_site_label
_atom_site_fract_x
_atom_site_fract_y
_atom_site_fract_z
_atom_site_occupancy
Dy1 0.127 0.176 0.097 1
Dy2 0.201 0.437 0.274 1
Ru1 0.000 0.002 0.750 1
Pt1 0.000 0.364 0.750 1
```

Model x:
Dy4RuPt: relaxed, PBE-GGA.

The structure in CIF format:
```
data_Dy4RuPt
_cell_length_a 6.891
_cell_length_b 6.857
_cell_length_c 6.854
_cell_angle_alpha 90.00
_cell_angle_beta 91.51
_cell_angle_gamma 90.00
_symmetry_space_group_name_H-M 'P 1 21/c 1'
_symmetry_Int_Tables_number 14
_symmetry_space_group_name_Hall '-P 2ybc'
loop_
_atom_site_label
_atom_site_fract_x
_atom_site_fract_y
_atom_site_fract_z
_atom_site_occupancy
Dy1 0.161 0.166 0.174 1
Dy2 0.327 0.664 0.158 1
Ru1 0.000 0.000 0.500 1
Pt1 0.500 0.000 0.000 1
```

Most stable = model w

Model w:
Dy6Ru2Pt: relaxed, PBE-GGA.

The structure in CIF format:
```
data_Dy6Ru2Pt
_cell_length_a 6.610
_cell_length_b 7.385
_cell_length_c 11.465
_cell_angle_alpha 90.00
_cell_angle_beta 123.56
_cell_angle_gamma 90.00
_symmetry_space_group_name_H-M 'P 1 21/c 1'
_symmetry_Int_Tables_number 14
_symmetry_space_group_name_Hall '-P 2ybc'
loop_
_atom_site_label
_atom_site_fract_x
_atom_site_fract_y
_atom_site_fract_z
_atom_site_occupancy
Dy1 0.074 0.055 0.239 1
Dy2 0.227 0.675 0.076 1
Dy3 0.393 0.167 0.069 1
Ru1 0.301 0.116 0.765 1
Pt1 0.500 0.000 0.500 1
```

Model x:
Dy6Ru2Pt: relaxed, PBE-GGA.

The structure in CIF format:
```
data_Dy6Ru2Pt
_cell_length_a 9.376
_cell_length_b 9.412
_cell_length_c 9.983
_cell_angle_alpha 90.00
_cell_angle_beta 90.00
_cell_angle_gamma 90.00
_symmetry_space_group_name_H-M 'I m m m'
_symmetry_Int_Tables_number 71
_symmetry_space_group_name_Hall '-I 2 2'
loop_
_atom_site_label
_atom_site_fract_x
_atom_site_fract_y
_atom_site_fract_z
_atom_site_occupancy
Dy1 0.000 0.190 0.247 1
Dy2 0.187 0.500 0.331 1
Dy3 0.232 0.322 0.000 1
Ru1 0.000 0.327 0.500 1
Ru2 0.000 0.500 0.124 1
Pt1 0.000 0.000 0.000 1
Pt2 0.000 0.000 0.500 1
```

Most stable = model x

Model w:
Dy4SbPt: relaxed, PBE-GGA.

The structure in CIF format:
```
data_Dy4SbPt
_cell_length_a 6.098
_cell_length_b 6.557
_cell_length_c 8.781
_cell_angle_alpha 90.00
_cell_angle_beta 110.40
_cell_angle_gamma 90.00
_symmetry_space_group_name_H-M 'P 1 21/m 1'
_symmetry_Int_Tables_number 11
_symmetry_space_group_name_Hall '-P 2yb'
loop_
_atom_site_label
_atom_site_fract_x
_atom_site_fract_y
_atom_site_fract_z
_atom_site_occupancy
Dy1 0.001 0.000 0.208 1
Dy2 0.395 0.250 0.605 1
Dy3 0.431 0.250 0.105 1
Sb1 0.200 0.750 0.545 1
Pt1 0.270 0.750 0.072 1
```

Model x:
Dy4SbPt: relaxed, PBE-GGA.

The structure in CIF format:
```
data_Dy4SbPt
_cell_length_a 15.502
_cell_length_b 6.801
_cell_length_c 7.177
_cell_angle_alpha 90.00
_cell_angle_beta 107.86
_cell_angle_gamma 90.00
_symmetry_space_group_name_H-M 'C 1 2/c 1'
_symmetry_Int_Tables_number 15
_symmetry_space_group_name_Hall '-C 2yc'
loop_
_atom_site_label
_atom_site_fract_x
_atom_site_fract_y
_atom_site_fract_z
_atom_site_occupancy
Dy1 0.090 0.079 0.470 1
Dy2 0.161 0.432 0.147 1
Sb1 0.000 0.326 0.750 1
Pt1 0.250 0.250 0.500 1
```

Most stable = model w

Model w:
DySc2Pt: relaxed, PBE-GGA.

The structure in CIF format:
```
data_DySc2Pt
_cell_length_a 3.381
_cell_length_b 3.381
_cell_length_c 8.009
_cell_angle_alpha 90.00
_cell_angle_beta 90.00
_cell_angle_gamma 90.00
_symmetry_space_group_name_H-M 'P 4/m m m'
_symmetry_Int_Tables_number 123
_symmetry_space_group_name_Hall '-P 4 2'
loop_
_atom_site_label
_atom_site_fract_x
_atom_site_fract_y
_atom_site_fract_z
_atom_site_occupancy
Dy1 0.000 0.000 0.000 1
Sc1 0.500 0.500 0.306 1
Pt1 0.000 0.000 0.500 1
```

Model x:
DySc2Pt: relaxed, PBE-GGA.

The structure in CIF format:
```
data_DySc2Pt
_cell_length_a 3.5725
_cell_length_b 3.5725
_cell_length_c 27.3491
_cell_angle_alpha 90.00
_cell_angle_beta 90.00
_cell_angle_gamma 120.00
_symmetry_space_group_name_H-M 'R -3 m'
_symmetry_Int_Tables_number 166
_symmetry_space_group_name_Hall '-R 3 2"'
loop_
_atom_site_label
_atom_site_fract_x
_atom_site_fract_y
_atom_site_fract_z
_atom_site_occupancy
Dy1 0.0000 0.0000 0.0000 1
Sc1 0.0000 0.0000 0.2291 1
Pt1 0.0000 0.0000 0.5000 1
```

Most stable = model w

Model w:
DySc2Pt: relaxed, PBE-GGA.

The structure in CIF format:
```
data_DySc2Pt
_cell_length_a 6.815
_cell_length_b 9.087
_cell_length_c 6.134
_cell_angle_alpha 90.00
_cell_angle_beta 90.00
_cell_angle_gamma 90.00
_symmetry_space_group_name_H-M 'P n m a'
_symmetry_Int_Tables_number 62
_symmetry_space_group_name_Hall '-P 2ac 2n'
loop_
_atom_site_label
_atom_site_fract_x
_atom_site_fract_y
_atom_site_fract_z
_atom_site_occupancy
Dy1 0.017 0.250 0.119 1
Sc1 0.176 0.058 0.674 1
Pt1 0.110 0.750 0.432 1
```

Model x:
DySc2Pt: relaxed, PBE-GGA.

The structure in CIF format:
```
data_DySc2Pt
_cell_length_a 3.7580
_cell_length_b 3.7580
_cell_length_c 25.1503
_cell_angle_alpha 90.00
_cell_angle_beta 90.00
_cell_angle_gamma 120.00
_symmetry_space_group_name_H-M 'R 3 m'
_symmetry_Int_Tables_number 160
_symmetry_space_group_name_Hall 'R 3 -2"'
loop_
_atom_site_label
_atom_site_fract_x
_atom_site_fract_y
_atom_site_fract_z
_atom_site_occupancy
Dy1 0.0000 0.0000 0.0000 1
Sc1 0.0000 0.0000 0.2293 1
Sc2 0.0000 0.0000 0.4416 1
Pt1 0.0000 0.0000 0.8358 1
```

Most stable = model w

Model w:
Dy2Sc3Pt4: relaxed, PBE-GGA.

The structure in CIF format:
```
data_Dy2Sc3Pt4
_cell_length_a 6.008
_cell_length_b 16.825
_cell_length_c 7.415
_cell_angle_alpha 90.00
_cell_angle_beta 90.00
_cell_angle_gamma 90.00
_symmetry_space_group_name_H-M 'C m c e'
_symmetry_Int_Tables_number 64
_symmetry_space_group_name_Hall '-C 2ac 2'
loop_
_atom_site_label
_atom_site_fract_x
_atom_site_fract_y
_atom_site_fract_z
_atom_site_occupancy
Dy1 0.000 0.098 0.091 1
Sc1 0.000 0.000 0.500 1
Sc2 0.250 0.232 0.750 1
Pt1 0.000 0.168 0.459 1
Pt2 0.250 0.067 0.750 1
```

Model x:
Dy2Sc3Pt4: relaxed, PBE-GGA.

The structure in CIF format:
```
data_Dy2Sc3Pt4
_cell_length_a 7.292
_cell_length_b 7.357
_cell_length_c 7.456
_cell_angle_alpha 90.00
_cell_angle_beta 110.46
_cell_angle_gamma 90.00
_symmetry_space_group_name_H-M 'P 1 21/c 1'
_symmetry_Int_Tables_number 14
_symmetry_space_group_name_Hall '-P 2ybc'
loop_
_atom_site_label
_atom_site_fract_x
_atom_site_fract_y
_atom_site_fract_z
_atom_site_occupancy
Dy1 0.192 0.175 0.069 1
Sc1 0.249 0.663 0.247 1
Sc2 0.500 0.000 0.500 1
Pt1 0.086 0.544 0.853 1
Pt2 0.499 0.138 0.869 1
```

Most stable = model x

Model w:
Dy4PtSe3: relaxed, PBE-GGA.

The structure in CIF format:
```
data_Dy4PtSe3
_cell_length_a 8.349
_cell_length_b 11.685
_cell_length_c 4.017
_cell_angle_alpha 90.00
_cell_angle_beta 90.00
_cell_angle_gamma 90.00
_symmetry_space_group_name_H-M 'C m m m'
_symmetry_Int_Tables_number 65
_symmetry_space_group_name_Hall '-C 2 2'
loop_
_atom_site_label
_atom_site_fract_x
_atom_site_fract_y
_atom_site_fract_z
_atom_site_occupancy
Dy1 0.000 0.245 0.000 1
Dy2 0.233 0.000 0.500 1
Pt1 0.000 0.000 0.000 1
Se1 0.000 0.500 0.000 1
Se2 0.250 0.250 0.500 1
```

Model x:
Dy4PtSe3: relaxed, PBE-GGA.

The structure in CIF format:
```
data_Dy4PtSe3
_cell_length_a 5.788
_cell_length_b 5.788
_cell_length_c 5.788
_cell_angle_alpha 90.00
_cell_angle_beta 90.00
_cell_angle_gamma 90.00
_symmetry_space_group_name_H-M 'P m -3 m'
_symmetry_Int_Tables_number 221
_symmetry_space_group_name_Hall '-P 4 2 3'
loop_
_atom_site_label
_atom_site_fract_x
_atom_site_fract_y
_atom_site_fract_z
_atom_site_occupancy
Dy1 0.000 0.000 0.000 1
Dy2 0.000 0.500 0.500 1
Pt1 0.500 0.500 0.500 1
Se1 0.000 0.000 0.500 1
```

Most stable = model w

Model w:
Sm2DyPt: relaxed, PBE-GGA.

The structure in CIF format:
```
data_Sm2DyPt
_cell_length_a 3.645
_cell_length_b 3.645
_cell_length_c 8.486
_cell_angle_alpha 90.00
_cell_angle_beta 90.00
_cell_angle_gamma 90.00
_symmetry_space_group_name_H-M 'P 4/m m m'
_symmetry_Int_Tables_number 123
_symmetry_space_group_name_Hall '-P 4 2'
loop_
_atom_site_label
_atom_site_fract_x
_atom_site_fract_y
_atom_site_fract_z
_atom_site_occupancy
Sm1 0.000 0.000 0.198 1
Dy1 0.500 0.500 0.500 1
Pt1 0.500 0.500 0.000 1
```

Model x:
Sm2DyPt: relaxed, PBE-GGA.

The structure in CIF format:
```
data_Sm2DyPt
_cell_length_a 3.848
_cell_length_b 12.065
_cell_length_c 9.796
_cell_angle_alpha 90.00
_cell_angle_beta 90.00
_cell_angle_gamma 90.00
_symmetry_space_group_name_H-M 'C m c m'
_symmetry_Int_Tables_number 63
_symmetry_space_group_name_Hall '-C 2c 2'
loop_
_atom_site_label
_atom_site_fract_x
_atom_site_fract_y
_atom_site_fract_z
_atom_site_occupancy
Sm1 0.000 0.137 0.064 1
Dy1 0.000 0.423 0.250 1
Pt1 0.000 0.261 0.750 1
```

Most stable = model x

Model w:
SmDyPt6: relaxed, PBE-GGA.

The structure in CIF format:
```
data_SmDyPt6
_cell_length_a 4.145
_cell_length_b 4.145
_cell_length_c 8.285
_cell_angle_alpha 90.00
_cell_angle_beta 90.00
_cell_angle_gamma 90.00
_symmetry_space_group_name_H-M 'P 4/m m m'
_symmetry_Int_Tables_number 123
_symmetry_space_group_name_Hall '-P 4 2'
loop_
_atom_site_label
_atom_site_fract_x
_atom_site_fract_y
_atom_site_fract_z
_atom_site_occupancy
Sm1 0.000 0.000 0.000 1
Dy1 0.000 0.000 0.500 1
Pt1 0.000 0.500 0.254 1
Pt2 0.500 0.500 0.000 1
Pt3 0.500 0.500 0.500 1
```

Model x:
SmDyPt6: relaxed, PBE-GGA.

The structure in CIF format:
```
data_SmDyPt6
_cell_length_a 5.328
_cell_length_b 5.328
_cell_length_c 5.328
_cell_angle_alpha 90.00
_cell_angle_beta 90.00
_cell_angle_gamma 90.00
_symmetry_space_group_name_H-M 'P m -3'
_symmetry_Int_Tables_number 200
_symmetry_space_group_name_Hall '-P 2 2 3'
loop_
_atom_site_label
_atom_site_fract_x
_atom_site_fract_y
_atom_site_fract_z
_atom_site_occupancy
Sm1 0.000 0.000 0.000 1
Dy1 0.500 0.500 0.500 1
Pt1 0.000 0.251 0.500 1
```

Most stable = model w

Model w:
SmDy3Pt2: relaxed, PBE-GGA.

The structure in CIF format:
```
data_SmDy3Pt2
_cell_length_a 16.222
_cell_length_b 4.888
_cell_length_c 8.470
_cell_angle_alpha 90.00
_cell_angle_beta 100.04
_cell_angle_gamma 90.00
_symmetry_space_group_name_H-M 'C 1 2/m 1'
_symmetry_Int_Tables_number 12
_symmetry_space_group_name_Hall '-C 2y'
loop_
_atom_site_label
_atom_site_fract_x
_atom_site_fract_y
_atom_site_fract_z
_atom_site_occupancy
Sm1 0.063 0.000 0.189 1
Dy1 0.064 0.500 0.686 1
Dy2 0.188 0.500 0.061 1
Dy3 0.189 0.000 0.565 1
Pt1 0.126 0.500 0.378 1
Pt2 0.127 0.000 0.873 1
```

Model x:
SmDy3Pt2: relaxed, PBE-GGA.

The structure in CIF format:
```
data_SmDy3Pt2
_cell_length_a 4.791
_cell_length_b 8.849
_cell_length_c 7.193
_cell_angle_alpha 90.00
_cell_angle_beta 90.00
_cell_angle_gamma 90.00
_symmetry_space_group_name_H-M 'P m c 21'
_symmetry_Int_Tables_number 26
_symmetry_space_group_name_Hall 'P 2c -2'
loop_
_atom_site_label
_atom_site_fract_x
_atom_site_fract_y
_atom_site_fract_z
_atom_site_occupancy
Sm1 0.000 0.081 0.000 1
Dy1 0.000 0.333 0.635 1
Dy2 0.500 0.171 0.348 1
Dy3 0.500 0.419 0.982 1
Pt1 0.000 0.344 0.235 1
Pt2 0.500 0.161 0.747 1
```

Most stable = model x

Model w:
SmDyZnPt: relaxed, PBE-GGA.

The structure in CIF format:
```
data_SmDyZnPt
_cell_length_a 7.124
_cell_length_b 7.124
_cell_length_c 7.124
_cell_angle_alpha 90.00
_cell_angle_beta 90.00
_cell_angle_gamma 90.00
_symmetry_space_group_name_H-M 'F -4 3 m'
_symmetry_Int_Tables_number 216
_symmetry_space_group_name_Hall 'F -4 2 3'
loop_
_atom_site_label
_atom_site_fract_x
_atom_site_fract_y
_atom_site_fract_z
_atom_site_occupancy
Sm1 0.000 0.000 0.000 1
Dy1 0.000 0.000 0.500 1
Zn1 0.250 0.250 0.750 1
Pt1 0.250 0.250 0.250 1
```

Model x:
SmDyZnPt: relaxed, PBE-GGA.

The structure in CIF format:
```
data_SmDyZnPt
_cell_length_a 4.473
_cell_length_b 3.875
_cell_length_c 10.832
_cell_angle_alpha 90.00
_cell_angle_beta 90.00
_cell_angle_gamma 90.00
_symmetry_space_group_name_H-M 'A m m 2'
_symmetry_Int_Tables_number 38
_symmetry_space_group_name_Hall 'A 2 -2'
loop_
_atom_site_label
_atom_site_fract_x
_atom_site_fract_y
_atom_site_fract_z
_atom_site_occupancy
Sm1 0.000 0.000 0.000 1
Dy1 0.500 0.000 0.719 1
Zn1 0.500 0.000 0.433 1
Pt1 0.000 0.000 0.283 1
```

Most stable = model x